HoThAu6 after structural relaxation, computed with PBE-GGA.

**ΔH_f (0 K)**: -643 meV/atom

extended XYZ file:
```
8
Lattice="-4.7623 -0.7906 0.9690 -2.9181 -1.9798 -3.4474 -0.4263 -7.2481 4.5009" Properties=species:S:1:pos:R:3 pbc="T T T"
Au -4.1164 -3.4753 1.9527
Au -2.3548 -1.7761 -0.5129
Au -3.4359 -6.3057 2.9880
Au -4.6708 -3.7127 -0.9655
Au -5.7518 -8.2424 2.5354
Au -3.9903 -6.5432 0.0699
Ho 0.0000 0.0000 0.0000
Th -1.6722 -4.6139 0.5268
```